Record 1
A geometry-optimized TlNiCl2 structure. Source: Alexandria, functional PBE.

```
TlNiCl2
1.0
-1.7200 3.0269 4.5882
1.7200 -3.0269 4.5882
1.7200 3.0269 -4.5882
Tl Ni Cl
1 1 2
Cartesian
0.0000 0.0000 0.0000
0.0000 0.0000 4.5882
1.7200 0.0000 3.0346
0.0000 3.0269 1.5536
```

Results
Energy above the most stable polymorph in this dataset ... 0.004 eV/atom
M_tot ... 0.2547 μB per atom


Record 2
A geometry-optimized TlNiCl6 structure. Source: Alexandria, functional PBE.

```
TlNiCl6
1.0
3.1144 -5.9510 0.0000
3.1144 5.9510 0.0000
-2.0099 0.0000 5.8966
Tl Ni Cl
1 1 6
Cartesian
0.0000 0.0000 0.0000
2.1094 0.0000 2.9483
1.1440 1.6762 1.5838
0.2859 0.0000 4.2384
1.1440 -1.6762 1.5838
3.0749 1.6762 4.3128
3.9329 0.0000 1.6582
3.0749 -1.6762 4.3128
```

Results
Energy above the most stable polymorph in this dataset ... 0.006 eV/atom
M_tot ... 0.1391 μB per atom


Record 3
A geometry-optimized TlNi3Cl structure. Source: Alexandria, functional PBE.

```
TlNi3Cl
1.0
4.2998 0.0000 0.0000
0.0000 4.2998 0.0000
0.0000 0.0000 4.2998
Tl Ni Cl
1 3 1
Cartesian
0.0000 0.0000 0.0000
0.0000 2.1499 2.1499
2.1499 0.0000 2.1499
2.1499 2.1499 0.0000
2.1499 2.1499 2.1499
```

Results
Energy above the most stable polymorph in this dataset ... 0.000 eV/atom
M_tot ... 0.0000 μB per atom


Record 4
A geometry-optimized TlNiCl3 structure. Source: Alexandria, functional PBE.

```
TlNiCl3
1.0
6.9648 0.0000 0.0000
-3.4824 6.0317 0.0000
0.0000 0.0000 5.9191
Tl Ni Cl
2 2 6
Cartesian
0.0000 4.0212 1.4798
3.4824 2.0106 4.4394
0.0000 0.0000 0.0000
0.0000 0.0000 2.9596
0.0000 1.8917 4.4394
-1.8442 5.0859 4.4394
1.6382 0.9458 1.4798
1.8442 5.0859 4.4394
5.3266 0.9458 1.4798
3.4824 4.1401 1.4798
```

Results
M_tot ... 0.3936 μB per atom
DFT total energy ... -3.490 eV per atom


Record 5
A geometry-optimized TlNi4Cl7 structure. Source: Alexandria, functional PBE.

```
TlNi4Cl7
1.0
15.5891 0.0000 0.0000
0.0000 6.3527 0.0000
0.0000 0.0000 5.9618
Tl Ni Cl
2 8 14
Cartesian
0.0000 0.6776 0.0000
7.7945 5.6751 2.9809
1.9229 4.1611 3.7374
3.8303 1.1841 3.7031
3.9642 5.1686 0.7222
5.8716 2.1916 0.7565
9.7174 2.1916 0.7565
11.6248 5.1686 0.7222
11.7587 1.1841 3.7031
13.6662 4.1611 3.7374
0.0000 5.2131 3.1463
1.7978 1.9795 3.2948
1.9590 4.4543 0.0271
3.7320 5.3329 2.9892
4.0626 1.0198 0.0083
5.8355 1.8984 3.0080
5.9967 4.3732 0.3139
7.7945 1.1395 0.1654
9.5923 4.3732 0.3139
9.7535 1.8984 3.0080
11.5265 1.0198 0.0083
11.8571 5.3329 2.9892
13.6301 4.4543 0.0271
13.7913 1.9795 3.2948
```

Results
M_tot ... 0.5001 μB per atom
DFT total energy ... -3.701 eV per atom


Record 6
A geometry-optimized Tl2NiCl5 structure. Source: Alexandria, functional PBE.

```
Tl2NiCl5
1.0
6.8892 0.0000 0.0000
0.0000 6.8892 0.0000
0.0000 0.0000 4.8563
Tl Ni Cl
2 1 5
Cartesian
0.0000 3.4446 0.0000
3.4446 0.0000 0.0000
0.0000 0.0000 2.4282
0.0000 0.0000 0.0000
1.5832 1.5832 2.4282
1.5832 5.3060 2.4282
5.3060 1.5832 2.4282
5.3060 5.3060 2.4282
```

Results
Energy above the most stable polymorph in this dataset ... 0.000 eV/atom
M_tot ... 0.0000 μB per atom


Record 7
A geometry-optimized TlNiCl2 structure. Source: Alexandria, functional PBE.

```
TlNiCl2
1.0
3.5878 0.0000 0.0000
0.0000 4.8440 0.0000
0.0000 0.0000 5.3795
Tl Ni Cl
1 1 2
Cartesian
0.0000 0.0000 0.0000
0.0000 2.4220 2.6897
1.7939 0.0000 2.6897
1.7939 2.4220 0.0000
```

Results
Energy above the most stable polymorph in this dataset ... 0.527 eV/atom
M_tot ... 0.2514 μB per atom


Record 8
A geometry-optimized TlNiCl2 structure. Source: Alexandria, functional PBE.

```
TlNiCl2
1.0
5.5024 -1.7248 0.0000
5.5024 1.7248 0.0000
-2.5248 0.0000 5.0997
Tl Ni Cl
1 1 2
Cartesian
0.0000 0.0000 0.0000
7.0864 0.0000 2.4039
0.2572 0.0000 3.1942
2.9309 0.0000 1.6160
```

Results
Energy above the most stable polymorph in this dataset ... 0.009 eV/atom
M_tot ... 0.2452 μB per atom


Record 9
A geometry-optimized TlNiCl4 structure. Source: Alexandria, functional PBE.

```
TlNiCl4
1.0
-3.6132 3.6132 3.8079
3.6132 -3.6132 3.8079
3.6132 3.6132 -3.8079
Tl Ni Cl
1 1 4
Cartesian
0.0000 0.0000 0.0000
3.6132 0.0000 1.9039
5.1366 -1.5360 1.8948
2.0772 -1.5233 1.9131
2.0899 1.5360 1.8948
5.1492 1.5233 1.9131
```

Results
M_tot ... 0.1436 μB per atom
DFT total energy ... -3.189 eV per atom


Record 10
A geometry-optimized TlNiCl2 structure. Source: Alexandria, functional PBE.

```
TlNiCl2
1.0
-2.0907 2.8479 5.1907
2.0907 -2.8479 5.1907
2.0907 2.8479 -5.1907
Tl Ni Cl
1 1 2
Cartesian
0.0000 0.0000 0.0000
2.0907 0.0000 4.3798
2.0907 0.0000 2.1459
0.0000 0.0000 5.0550
```

Results
Energy above the most stable polymorph in this dataset ... 0.031 eV/atom
M_tot ... 0.2532 μB per atom


Record 11
A geometry-optimized Tl2NiCl6 structure. Source: Alexandria, functional PBE.

```
Tl2NiCl6
1.0
6.4145 0.0000 0.0000
0.0000 6.4145 0.0000
0.0000 0.0000 12.0194
Tl Ni Cl
4 2 12
Cartesian
0.0000 0.0000 1.9319
0.0000 0.0000 10.0875
3.2072 3.2072 4.0778
3.2072 3.2072 7.9416
0.0000 0.0000 6.0097
3.2072 3.2072 0.0000
1.1626 1.1626 4.3005
1.1626 1.1626 7.7188
1.5496 1.5496 0.0000
1.6576 4.7569 6.0097
2.0446 4.3698 1.7091
2.0446 4.3698 10.3102
4.3698 2.0446 1.7091
4.3698 2.0446 10.3102
4.7569 1.6576 6.0097
4.8648 4.8648 0.0000
5.2519 5.2519 4.3005
5.2519 5.2519 7.7188
```

Results
M_tot ... 0.1166 μB per atom
DFT total energy ... -3.033 eV per atom


Record 12
A geometry-optimized TlNiCl2 structure. Source: Alexandria, functional PBE.

```
TlNiCl2
1.0
5.4382 0.0000 0.0000
0.0000 3.4485 0.0000
-2.0495 0.0000 5.0903
Tl Ni Cl
1 1 2
Cartesian
0.0000 0.0000 0.0000
1.6943 0.0000 2.5451
0.4256 1.7243 3.4172
2.9631 1.7243 1.6730
```

Results
Energy above the most stable polymorph in this dataset ... 0.016 eV/atom
M_tot ... 0.2491 μB per atom


> The highest M_tot belongs to which entry?

TlNi4Cl7